(1)
First-principles (GGA-PBE) data for crystalline Pr3Ni6Ge5 at its relaxed geometry, as listed in Alexandria via LeMat-Bulk.

a = 4.0591 Å, b = 9.9022 Å, c = 12.1649 Å
α = 90.00°, β = 90.00°, γ = 90.00°
Element x y z (fractional)
Pr 0.0000 0.2531 0.6628
Pr 0.5000 0.7469 0.1628
Pr 0.5000 0.7469 0.8372
Pr 0.0000 0.2482 0.0000
Pr 0.5000 0.7518 0.5000
Pr 0.0000 0.2531 0.3372
Ni 0.0000 0.0068 0.8296
Ni 0.5000 0.9932 0.6704
Ni 0.5000 0.3947 0.8102
Ni 0.5000 0.4927 0.0000
Ni 0.0000 0.5073 0.5000
Ni 0.0000 0.6053 0.6898
Ni 0.0000 0.6053 0.3102
Ni 0.5000 0.0120 0.0000
Ni 0.0000 0.0068 0.1704
Ni 0.5000 0.3947 0.1898
Ni 0.0000 0.9880 0.5000
Ni 0.5000 0.9932 0.3296
Ge 0.0000 0.5123 0.8758
Ge 0.0000 0.8623 0.6709
Ge 0.0000 0.8867 0.0000
Ge 0.5000 0.4877 0.6242
Ge 0.5000 0.1133 0.5000
Ge 0.0000 0.5123 0.1242
Ge 0.5000 0.4877 0.3758
Ge 0.0000 0.8623 0.3291
Ge 0.5000 0.1377 0.8291
Ge 0.5000 0.1377 0.1709

Results
Density of states at the Fermi level: 0.801 states/eV/atom
Crystal system: orthorhombic
SG: Pmmn (59)
Electronic total energy: -5.76 eV per atom

---

(2)
First-principles (GGA-PBE) data for crystalline Pr12Ni6Ge at its relaxed geometry, as listed in Alexandria via LeMat-Bulk.

a = 8.7292 Å, b = 8.7292 Å, c = 8.7292 Å
α = 109.47°, β = 109.47°, γ = 109.47°
Element x y z (fractional)
Pr 0.3045 0.1197 0.8152
Pr 0.3045 0.4892 0.1848
Pr 0.6955 0.5108 0.8152
Pr 0.6955 0.8803 0.1848
Pr 0.1197 0.8152 0.3045
Pr 0.4892 0.1848 0.3045
Pr 0.5108 0.8152 0.6955
Pr 0.8803 0.1848 0.6955
Pr 0.8152 0.3045 0.1197
Pr 0.1848 0.3045 0.4892
Pr 0.8152 0.6955 0.5108
Pr 0.1848 0.6955 0.8803
Ni 0.3782 0.5000 0.8782
Ni 0.6218 0.5000 0.1218
Ni 0.5000 0.8782 0.3782
Ni 0.5000 0.1218 0.6218
Ni 0.8782 0.3782 0.5000
Ni 0.1218 0.6218 0.5000
Ge 0.0000 0.0000 0.0000

Results
Density of states at the Fermi level: 1.006 states/eV/atom
Crystal system: cubic
SG: Im-3 (204)
Electronic total energy: -5.34 eV per atom

---

(3)
First-principles (GGA-PBE) data for crystalline Pr2Ni2Ge3 at its relaxed geometry, as listed in Alexandria via LeMat-Bulk.

a = 4.3055 Å, b = 6.8739 Å, c = 9.3902 Å
α = 90.00°, β = 103.25°, γ = 90.00°
Element x y z (fractional)
Pr 0.1601 0.2500 0.3202
Pr 0.8399 0.7500 0.6798
Pr 0.9484 0.2500 0.8967
Pr 0.0516 0.7500 0.1033
Ni 0.6974 0.9440 0.3947
Ni 0.3026 0.0560 0.6053
Ni 0.3026 0.4440 0.6053
Ni 0.6974 0.5560 0.3947
Ge 0.2219 0.7500 0.4437
Ge 0.7781 0.2500 0.5563
Ge 0.5663 0.4379 0.1325
Ge 0.4337 0.5621 0.8675
Ge 0.4337 0.9379 0.8675
Ge 0.5663 0.0621 0.1325

Results
ΔE to the lowest computed polymorph: 0 meV/atom
Density of states at the Fermi level: 0.518 states/eV/atom
Crystal system: orthorhombic
SG: Cmcm (63)
Electronic total energy: -5.66 eV per atom

---

(4)
First-principles (GGA-PBE) data for crystalline Pr2NiGe4 at its relaxed geometry, as listed in Alexandria via LeMat-Bulk.

a = 8.6552 Å, b = 8.6552 Å, c = 4.1764 Å
α = 90.00°, β = 90.00°, γ = 151.62°
Element x y z (fractional)
Pr 0.1081 0.8919 0.5000
Pr 0.8968 0.1032 0.0000
Ni 0.3141 0.6859 0.5000
Ge 0.4560 0.5440 0.5000
Ge 0.5491 0.4509 0.0000
Ge 0.7456 0.2544 0.5000
Ge 0.2464 0.7536 0.0000

Results
Density of states at the Fermi level: 0.462 states/eV/atom
Crystal system: orthorhombic
SG: Amm2 (38)
Electronic total energy: -5.53 eV per atom

---

Number 1: E_form -0.613 eV per atom. Number 2: E_form -0.255 eV per atom. Number 3: E_form -0.665 eV per atom. Number 4: E_form -0.695 eV per atom.